Density functional theory data (PBE) for a relaxed structure of ScInAg.

## Properties
* size of the total moment: 0.27 μB per formula unit
* crystal system: orthorhombic
* symmetry: No. 44
* energy of formation from the pure elements: -0.54 eV/f.u.
* DFT total energy: -4.153 eV/atom

Structure (POSCAR):
```
ScInAg
1.0
5.2238 -0.0091 0.0030
2.3306 4.6751 -0.0030
-3.3027 -3.1013 2.6005
Sc In Ag
1 1 1
direct
0.6678 0.6678 0.0000
0.3315 0.3315 0.0000
0.0007 0.0007 0.0000
```



Density functional theory data (PBE) for a relaxed structure of ScInAg.

## Properties
* size of the total moment: 0.13 μB per formula unit
* crystal system: tetragonal
* symmetry: No. 107
* energy of formation from the pure elements: -0.75 eV/f.u.
* DFT total energy: -4.223 eV/atom

Structure (POSCAR):
```
ScInAg
1.0
6.1801 -0.0631 0.0677
5.3229 3.1418 0.0717
0.8572 0.2275 3.1969
In Sc Ag
1 1 1
direct
0.3391 0.3391 0.6609
0.6610 0.6610 0.3390
0.9999 0.9999 0.0001
```



Density functional theory data (PBE) for a relaxed structure of ScIn2Ag.

## Properties
* size of the total moment: 0.00 μB per formula unit
* crystal system: trigonal
* symmetry: No. 160
* energy of formation from the pure elements: -0.25 eV/f.u.
* DFT total energy: -3.728 eV/atom

Structure (POSCAR):
```
ScIn2Ag
1.0
-8.6446 0.9024 4.4499
-9.1176 -2.0174 2.8538
-7.5752 -1.9650 5.8396
In Ag Sc
2 1 1
direct
0.0047 0.0047 0.0047
0.2473 0.2473 0.2473
0.7526 0.7526 0.7526
0.4954 0.4954 0.4954
```



Density functional theory data (PBE) for a relaxed structure of Sc2InAg.

## Properties
* size of the total moment: 1.74 μB per formula unit
* crystal system: cubic
* symmetry: No. 216
* energy of formation from the pure elements: -0.41 eV/f.u.
* DFT total energy: -4.665 eV/atom

Structure (POSCAR):
```
Sc2InAg
1.0
4.9424 0.0000 0.0000
2.4712 4.2802 0.0000
2.4712 1.4267 4.0354
Sc In Ag
2 1 1
direct
0.7500 0.7500 0.7500
0.0000 0.0000 0.0000
0.2500 0.2500 0.2500
0.5000 0.5000 0.5000
```



Density functional theory data (PBE) for a relaxed structure of ScIn2Ag.

## Properties
* size of the total moment: 0.00 μB per formula unit
* crystal system: trigonal
* symmetry: No. 166
* energy of formation from the pure elements: -0.42 eV/f.u.
* DFT total energy: -3.771 eV/atom

Structure (POSCAR):
```
ScIn2Ag
1.0
-7.8087 -0.9370 -5.7445
-5.5107 -2.2251 -7.7158
-6.9625 -4.1017 -5.4362
Ag In Sc
1 2 1
direct
0.7500 0.7500 0.7500
0.4969 0.4969 0.4969
0.0031 0.0031 0.0031
0.2500 0.2500 0.2500
```



Density functional theory data (PBE) for a relaxed structure of Sc3In4Ag2.

## Properties
* size of the total moment: 0.00 μB per formula unit
* crystal system: monoclinic
* symmetry: No. 12
* energy of formation from the pure elements: -2.88 eV/f.u.
* DFT total energy: -4.281 eV/atom

Structure (POSCAR):
```
Sc3In4Ag2
1.0
4.8164 0.0000 0.0000
-2.4082 4.8642 -2.1016
0.0000 -1.1281 8.8627
Sc Ag In
3 2 4
direct
0.6645 0.3289 0.6646
0.0000 0.0000 0.0000
0.3355 0.6711 0.3354
0.6092 0.2183 0.2801
0.3908 0.7817 0.7199
0.7213 0.4425 0.0638
0.2787 0.5575 0.9362
0.0586 0.1172 0.3863
0.9414 0.8828 0.6137
```



Density functional theory data (PBE) for a relaxed structure of ScInAg.

## Properties
* size of the total moment: 0.00 μB per formula unit
* crystal system: cubic
* symmetry: No. 216
* energy of formation from the pure elements: -0.58 eV/f.u.
* DFT total energy: -4.166 eV/atom

Structure (POSCAR):
```
ScInAg
1.0
4.6413 0.0000 0.0000
2.3206 4.0195 0.0000
2.3206 1.3398 3.7896
In Sc Ag
1 1 1
direct
0.0000 0.0000 0.0000
0.5000 0.5000 0.5000
0.2500 0.2500 0.2500
```



Density functional theory data (PBE) for a relaxed structure of ScIn2Ag.

## Properties
* size of the total moment: 0.00 μB per formula unit
* crystal system: orthorhombic
* symmetry: No. 25
* energy of formation from the pure elements: -0.65 eV/f.u.
* DFT total energy: -3.827 eV/atom

Structure (POSCAR):
```
ScIn2Ag
1.0
3.5219 0.0000 0.0000
0.0000 3.9664 0.0000
0.0000 0.0000 6.3980
In Ag Sc
2 1 1
direct
0.0000 0.0000 0.9865
0.5000 0.5000 0.2623
0.5000 0.5000 0.7428
0.0000 0.0000 0.5084
```



Density functional theory data (PBE) for a relaxed structure of ScIn2Ag.

## Properties
* size of the total moment: 0.00 μB per formula unit
* crystal system: tetragonal
* symmetry: No. 119
* energy of formation from the pure elements: -0.84 eV/f.u.
* DFT total energy: -3.874 eV/atom

Structure (POSCAR):
```
ScIn2Ag
1.0
5.4877 -0.0081 -0.0127
1.9796 5.1182 0.0127
-3.7276 -2.5638 3.1059
Sc In Ag
1 2 1
direct
0.4999 0.4999 0.0000
0.9999 0.9999 0.0000
0.2500 0.7500 0.5000
0.7501 0.2501 0.5000
```



Density functional theory data (PBE) for a relaxed structure of ScIn2Ag.

## Properties
* size of the total moment: 0.00 μB per formula unit
* crystal system: tetragonal
* symmetry: No. 123
* energy of formation from the pure elements: -1.17 eV/f.u.
* DFT total energy: -3.957 eV/atom

Structure (POSCAR):
```
ScIn2Ag
1.0
4.5509 0.0000 0.0000
0.0000 4.5521 0.0000
0.0000 0.0000 4.1465
In Sc Ag
2 1 1
direct
0.0000 0.0000 0.0000
0.5000 0.5000 0.0000
0.5000 0.0000 0.5000
0.0000 0.5000 0.5000
```



Density functional theory data (PBE) for a relaxed structure of ScIn2Ag.

## Properties
* size of the total moment: 0.00 μB per formula unit
* crystal system: cubic
* symmetry: No. 216
* energy of formation from the pure elements: -0.62 eV/f.u.
* DFT total energy: -3.819 eV/atom

Structure (POSCAR):
```
ScIn2Ag
1.0
-0.1431 4.9700 -0.2845
-1.8813 2.2094 -4.0475
-4.3640 2.3848 0.2662
In Sc Ag
2 1 1
direct
0.0000 0.0000 0.0000
0.2500 0.2500 0.2500
0.7500 0.7500 0.7500
0.5000 0.5000 0.5000
```



Density functional theory data (PBE) for a relaxed structure of Sc3InAg2.

## Properties
* size of the total moment: 0.00 μB per formula unit
* crystal system: tetragonal
* symmetry: No. 123
* energy of formation from the pure elements: -2.02 eV/f.u.
* DFT total energy: -4.909 eV/atom

Structure (POSCAR):
```
Sc3InAg2
1.0
-3.2154 -0.9215 -0.8021
1.1932 -1.8837 -2.6190
0.8138 -8.4564 6.4528
Sc Ag In
3 2 1
direct
0.0000 0.0000 0.3208
0.0000 0.0000 0.0000
0.0000 0.0000 0.6792
0.5000 0.5000 0.8369
0.5000 0.5000 0.1631
0.5000 0.5000 0.5000
```



Density functional theory data (PBE) for a relaxed structure of Sc4InAg3.

## Properties
* size of the total moment: 0.00 μB per formula unit
* crystal system: trigonal
* symmetry: No. 166
* energy of formation from the pure elements: -2.54 eV/f.u.
* DFT total energy: -4.895 eV/atom

Structure (POSCAR):
```
Sc4InAg3
1.0
-2.9817 -2.7269 2.7807
1.2318 -1.0327 4.6341
-4.3411 5.3821 4.9492
Ag Sc In
3 4 1
direct
0.5000 0.5000 0.5000
0.2522 0.2522 0.2434
0.7478 0.7478 0.7566
0.1279 0.1279 0.6163
0.6216 0.6216 0.1354
0.8721 0.8721 0.3837
0.3784 0.3784 0.8646
0.0000 0.0000 0.0000
```



Density functional theory data (PBE) for a relaxed structure of ScInAg3.

## Properties
* size of the total moment: 0.00 μB per formula unit
* crystal system: cubic
* symmetry: No. 221
* energy of formation from the pure elements: 3.59 eV/f.u.
* energy relative to the lowest polymorph listed for this composition: 89.6 kJ per mole of atoms
* DFT total energy: -2.808 eV/atom

Structure (POSCAR):
```
ScInAg3
1.0
-3.9933 3.3836 0.5976
-3.4360 -3.9308 -0.7041
-0.0063 -0.9235 5.1865
Sc Ag In
1 3 1
direct
0.0000 0.0000 0.0000
0.5000 0.0000 0.0000
0.0000 0.5000 0.0000
0.0000 0.0000 0.5000
0.5000 0.5000 0.5000
```



Density functional theory data (PBE) for a relaxed structure of ScIn4Ag.

## Properties
* size of the total moment: 0.00 μB per formula unit
* crystal system: cubic
* symmetry: No. 216
* energy of formation from the pure elements: 0.90 eV/f.u.
* DFT total energy: -3.207 eV/atom

Structure (POSCAR):
```
ScIn4Ag
1.0
3.9124 -4.3264 -1.1248
3.2412 -2.2959 4.4174
-1.0585 -5.5289 1.8974
In Ag Sc
4 1 1
direct
0.8748 0.3751 0.3751
0.3751 0.3751 0.3751
0.3751 0.8748 0.3751
0.3751 0.3751 0.8748
0.0000 0.0000 0.0000
0.7500 0.7500 0.7500
```



Density functional theory data (PBE) for a relaxed structure of Sc2InAg.

## Properties
* size of the total moment: 1.18 μB per formula unit
* crystal system: trigonal
* symmetry: No. 160
* energy of formation from the pure elements: -0.28 eV/f.u.
* DFT total energy: -4.634 eV/atom

Structure (POSCAR):
```
Sc2InAg
1.0
-8.1854 -5.1696 -2.4236
-7.5188 -6.5460 0.4656
-9.2356 -3.7670 0.3362
Sc In Ag
2 1 1
direct
0.0008 0.0008 0.0008
0.2456 0.2456 0.2456
0.7535 0.7535 0.7535
0.5001 0.5001 0.5001
```



Density functional theory data (PBE) for a relaxed structure of Sc2In4Ag.

## Properties
* size of the total moment: 0.00 μB per formula unit
* crystal system: cubic
* symmetry: No. 227
* energy of formation from the pure elements: -1.31 eV/f.u.
* DFT total energy: -3.968 eV/atom

Structure (POSCAR):
```
Sc2In4Ag
1.0
8.4918 0.0000 4.9027
2.8306 8.0061 4.9027
0.0000 0.0000 9.8055
In Ag Sc
16 4 8
direct
0.2202 0.2202 0.7798
0.0298 0.4702 0.4702
0.7798 0.2202 0.7798
0.6250 0.1250 0.6250
0.1250 0.6250 0.6250
0.2202 0.7798 0.2202
0.6250 0.6250 0.6250
0.7798 0.7798 0.2202
0.7798 0.2202 0.2202
0.6250 0.6250 0.1250
0.4702 0.0298 0.0298
0.2202 0.7798 0.7798
0.4702 0.0298 0.4702
0.4702 0.4702 0.0298
0.0298 0.4702 0.0298
0.0298 0.0298 0.4702
0.6250 0.1250 0.1250
0.1250 0.1250 0.6250
0.1250 0.1250 0.1250
0.1250 0.6250 0.1250
0.4110 0.4110 0.7671
0.4829 0.8390 0.8390
0.8390 0.8390 0.4829
0.8390 0.4829 0.8390
0.4110 0.4110 0.4110
0.8390 0.8390 0.8390
0.7671 0.4110 0.4110
0.4110 0.7671 0.4110
```



Density functional theory data (PBE) for a relaxed structure of Sc7In2Ag2.

## Properties
* size of the total moment: 0.00 μB per formula unit
* crystal system: orthorhombic
* symmetry: No. 65
* energy of formation from the pure elements: 0.43 eV/f.u.
* DFT total energy: -5.006 eV/atom

Structure (POSCAR):
```
Sc7In2Ag2
1.0
-2.4454 -4.5617 3.9176
6.3541 -1.4022 2.3327
0.0437 5.6146 3.2573
Sc In Ag
7 2 2
direct
0.4998 0.2528 0.5002
0.0000 0.0000 0.0000
0.9998 0.2720 0.5003
0.5003 0.7280 0.9998
0.4997 0.2720 0.0002
0.5002 0.7472 0.4998
0.0002 0.7280 0.4997
0.1821 0.5000 0.1821
0.8179 0.5000 0.8179
0.7108 0.0000 0.2892
0.2892 0.0000 0.7108
```



Density functional theory data (PBE) for a relaxed structure of ScInAg3.

## Properties
* size of the total moment: 0.00 μB per formula unit
* crystal system: triclinic
* symmetry: No. 2
* energy of formation from the pure elements: -1.05 eV/f.u.
* energy relative to the lowest polymorph listed for this composition: 0.0 kJ per mole of atoms
* DFT total energy: -3.736 eV/atom

Structure (POSCAR):
```
ScInAg3
1.0
-2.1929 -2.6787 -3.5344
2.9697 -3.8313 1.0421
-6.3216 -3.9628 3.4769
Ag In Sc
6 2 2
direct
0.6598 0.8444 0.3997
0.2541 0.8444 0.2113
0.4577 0.8444 0.8076
0.1570 0.3444 0.4033
0.9534 0.3444 0.8069
0.7513 0.3444 0.2149
0.8562 0.8444 0.0093
0.5550 0.3444 0.6052
0.3508 0.3444 0.0147
0.0602 0.8444 0.5999
```



Density functional theory data (PBE) for a relaxed structure of ScIn2Ag.

## Properties
* size of the total moment: 0.00 μB per formula unit
* crystal system: monoclinic
* symmetry: No. 12
* energy of formation from the pure elements: -0.53 eV/f.u.
* DFT total energy: -3.797 eV/atom

Structure (POSCAR):
```
ScIn2Ag
1.0
5.1692 0.0297 0.0071
4.1428 3.0917 0.0071
1.3519 0.4532 5.6384
Sc In Ag
1 2 1
direct
0.7500 0.7500 0.7500
0.5093 0.5093 0.4866
0.9907 0.9907 0.0134
0.2500 0.2500 0.2500
```



no.,ρ (g cm⁻³)
1,6.99
2,7.06
3,6.78
4,6.08
5,7.09
6,6.85
7,6.29
8,7.11
9,7.28
10,7.39
11,7.27
12,6.12
13,6.15
14,5.49
15,6.86
16,5.72
17,6.55
18,4.55
19,8.33
20,7.11